Material: LaDyOs4
Method: DFT, PBE
State: relaxed

The value obtained for the volume is 18.8 A^3/atom. The magnetization is 0.00 μB per cell.

Lattice parameters (Å, degrees): 7.670 7.670 7.670 90.00 90.00 90.00
Space group F-43m (No. 216)
Asymmetric unit:
La1 0.000 0.000 0.000
Dy1 0.250 0.250 0.250
Os1 0.125 0.125 0.625

Material: LaDy2Os
Method: DFT, PBE
State: relaxed

The value obtained for the volume is 27.8 A^3/atom. The energy above the lowest structure with this stoichiometry is 0.085 eV/atom. The magnetization is 0.00 μB per cell.

Lattice parameters (Å, degrees): 3.428 3.428 9.481 90.00 90.00 90.00
Space group P4/mmm (No. 123)
Asymmetric unit:
La1 0.000 0.000 0.000
Dy1 0.500 0.500 0.326
Os1 0.000 0.000 0.500

Material: LaDy2Os
Method: DFT, PBE
State: relaxed

The value obtained for the volume is 29.3 A^3/atom. The energy above the lowest structure with this stoichiometry is 0.447 eV/atom. The magnetization is 0.00 μB per cell.

Lattice parameters (Å, degrees): 3.5187 3.5187 32.7598 90.00 90.00 120.00
Space group R-3m (No. 166, hexagonal axes)
Asymmetric unit:
La1 0.0000 0.0000 0.0000
Dy1 0.0000 0.0000 0.1078
Os1 0.0000 0.0000 0.5000

Material: La3DyOs
Method: DFT, PBE
State: relaxed

The value obtained for the volume is 36.2 A^3/atom. The magnetization is 0.00 μB per cell.

Lattice parameters (Å, degrees): 5.656 5.656 5.656 90.00 90.00 90.00
Space group Pm-3m (No. 221)
Asymmetric unit:
La1 0.000 0.000 0.500
Dy1 0.500 0.500 0.500
Os1 0.000 0.000 0.000

Number 1: DFT formation energy -0.1283 eV/atom. Number 2: DFT formation energy -0.1314 eV/atom. Number 3: DFT formation energy 0.2315 eV/atom. Number 4: DFT formation energy 0.0482 eV/atom.